The following is a DFT calculation (GGA-PBE) of crystalline HgBi3Pd3 at its relaxed geometry.

Its total magnetization is 0.00 μB per cell. The space group is C2/m, No. 12. Its density of states at the Fermi level is 0.35 states/eV per atom. As for the raw total energy: -4.11 eV per atom.

Structure (POSCAR):
```
HgBi3Pd3
1.0
4.299 -5.296 0.000
4.299 5.296 0.000
-0.211 0.000 7.177
Hg Bi Pd
2 6 6
direct
0.243 0.243 0.165
0.757 0.757 0.835
0.089 0.089 0.698
0.268 0.732 0.000
0.341 0.659 0.500
0.659 0.341 0.500
0.732 0.268 0.000
0.911 0.911 0.302
0.008 0.476 0.716
0.416 0.416 0.815
0.476 0.008 0.716
0.524 0.992 0.284
0.584 0.584 0.185
0.992 0.524 0.284
```

***

The following is a DFT calculation (GGA-PBE) of crystalline HgBiPd2 at its relaxed geometry.

Its total magnetization is 0.00 μB per cell. For the offset from the most stable computed form, the calculation gives 203 meV per atom. The space group is I-42d, No. 122. Its density of states at the Fermi level is 0.68 states/eV per atom. As for the raw total energy: -3.63 eV per atom.

Structure (POSCAR):
```
HgBiPd2
1.0
-3.788 3.788 3.004
3.788 -3.788 3.004
3.788 3.788 -3.004
Hg Bi Pd
2 2 4
direct
0.000 0.000 0.000
0.750 0.250 0.500
0.250 0.750 0.500
0.500 0.500 0.000
0.123 0.625 0.998
0.375 0.373 0.498
0.627 0.125 0.002
0.875 0.877 0.502
```

***

The following is a DFT calculation (GGA-PBE) of crystalline HgBi2Pd2 at its relaxed geometry.

Its total magnetization is 0.00 μB per cell. For the offset from the most stable computed form, the calculation gives 100 meV per atom. The space group is P4/mbm, No. 127. Its density of states at the Fermi level is 0.43 states/eV per atom. As for the raw total energy: -3.77 eV per atom.

Structure (POSCAR):
```
HgBi2Pd2
1.0
8.392 0.000 0.000
0.000 8.392 0.000
0.000 0.000 3.337
Hg Bi Pd
2 4 4
direct
0.000 0.000 0.000
0.500 0.500 0.000
0.162 0.338 0.000
0.338 0.838 0.000
0.662 0.162 0.000
0.838 0.662 0.000
0.125 0.625 0.500
0.375 0.125 0.500
0.625 0.875 0.500
0.875 0.375 0.500
```

***

no.,ΔE_f (kcal/mol of atoms)
1,-4.1
2,0.3
3,-1.8